(1)
Nd6SmCd3 | PBE-GGA | optimized geometry

a b c (Å): 12.9959 14.1568 6.9065
angles (deg): 90.00 90.00 90.00
With the nearest neighbours (Å) after each atom.
Space group Cmc2_1 (No. 36)
One atom of each set of equivalent atoms:
Nd (0.0000, 0.0765, 0.0000) x4  2 Cd 3.19, 1 Sm 3.53
Nd (0.0000, 0.2992, 0.3129) x4  4 Cd 3.27-3.34, 2 Sm 3.36-3.55, 2 Nd 3.39
Nd (0.2157, 0.4743, 0.3093) x8  4 Cd 3.24-3.43, 3 Nd 3.53-3.57
Nd (0.2242, 0.2136, 0.1357) x8  2 Cd 3.21-3.36, 2 Nd 3.39-3.57
Sm (0.0000, 0.3056, 0.7994) x4  4 Cd 3.24-3.50, 3 Nd 3.36-3.55
Cd (0.0000, 0.4978, 0.0587) x4  2 Sm 3.24-3.26, 6 Nd 3.31-3.34, 2 Cd 3.45
Cd (0.1131, 0.1229, 0.5330) x8  1 Cd 2.94, 4 Nd 3.19-3.27

Its formation energy from the elements is -0.094 eV/atom. The value obtained for the spin magnetization is 0.00 Bohr magnetons per cell. As for the raw total energy: -3.701 eV/atom.

(2)
NaCeTe2 | PBE-GGA | optimized geometry

a b c (Å): 4.4006 4.4006 24.0243
angles (deg): 90.00 90.00 120.00
With the nearest neighbours (Å) after each atom.
Space group R3m (No. 160, hexagonal axes)
One atom of each set of equivalent atoms:
Na (0.0000, 0.0000, 0.0000) x3  6 Te 3.23-3.30
Ce (0.0000, 0.0000, 0.1690) x3  6 Te 3.20-3.21
Te (0.0000, 0.0000, 0.4208) x3  3 Ce 3.21, 3 Na 3.30
Te (0.0000, 0.0000, 0.5834) x3  3 Ce 3.20, 3 Na 3.23

The value obtained for the spin magnetization is 3.00 Bohr magnetons per cell. As for the raw formation energy: -1181 meV/atom. As for the raw total energy: -4.565 eV/atom.

(3)
Ti2Pd2Pt | PBE-GGA | optimized geometry

a b c (Å): 4.5143 2.7873 12.4912
angles (deg): 90.00 90.05 90.00
With the nearest neighbours (Å) after each atom.
Space group P2_1/m (No. 11)
One atom of each set of equivalent atoms:
Ti (0.2485, 0.2500, 0.0594) x2  2 Pd 2.48
Ti (0.2506, 0.7500, 0.6518) x2  5 Pd 2.58-2.75, 2 Ti 2.79, 4 Pt 2.89
Pd (0.2499, 0.2500, 0.4622) x2  4 Ti 2.67-2.75, 6 Pd 2.79-2.82, 2 Pt 2.93
Pd (0.2513, 0.7500, 0.8586) x2  3 Ti 2.48-2.58
Pt (0.2490, 0.7500, 0.2560) x2  2 Pt 2.79, 6 Ti 2.82-2.89, 6 Pd 2.93-3.01

Its formation energy from the elements is -0.555 eV/atom. Its energy above the most stable polymorph in this dataset is 71 meV/atom. The value obtained for the spin magnetization is 0.01 Bohr magnetons per cell. As for the raw total energy: -6.998 eV/atom.

(4)
Er6Rh2PbSe3 | PBE-GGA | optimized geometry

a b c (Å): 18.8321 3.9753 8.5361
angles (deg): 90.00 112.46 90.00
With the nearest neighbours (Å) after each atom.
Space group C2/m (No. 12)
One atom of each set of equivalent atoms:
Er (0.0036, 0.0000, 0.2307) x4  3 Se 2.78-2.84, 1 Rh 2.87, 2 Pb 3.06
Er (0.1762, 0.5000, 0.5915) x4  2 Rh 2.78, 3 Se 2.79-3.00, 1 Pb 3.11
Er (0.1817, 0.5000, 0.0450) x4  3 Rh 2.82-2.89
Rh (0.1525, 0.0000, 0.7933) x4  6 Er 2.78-2.89
Pb (0.0000, 0.5000, 0.5000) x2  6 Er 3.06-3.11
Se (0.0000, 0.5000, 0.0000) x2  4 Er 2.78
Se (0.1649, 0.0000, 0.3192) x4  4 Er 2.79-3.00

The value obtained for the spin magnetization is 0.00 Bohr magnetons per cell. As for the raw formation energy: -1178 meV/atom. As for the raw total energy: -5.865 eV/atom.

(5)
Os2PtSe | PBE-GGA | optimized geometry

a b c (Å): 2.7595 4.8292 9.6448
angles (deg): 90.00 90.00 90.00
With the nearest neighbours (Å) after each atom.
Space group Cmm2 (No. 35)
One atom of each set of equivalent atoms:
Os (0.0000, 0.0000, 0.0000) x2  8 Os 2.60-2.78, 2 Se 2.72
Os (0.0000, 0.5000, 0.2285) x2  8 Os 2.60-2.78, 2 Pt 2.77
Pt (0.0000, 0.0000, 0.4776) x2  6 Pt 2.76-2.78, 2 Os 2.77, 2 Se 3.02
Se (0.0000, 0.5000, 0.7567) x2  2 Os 2.72, 6 Se 2.76-2.78, 2 Pt 3.02

The value obtained for the spin magnetization is 1.34 Bohr magnetons per cell. As for the raw formation energy: 632 meV/atom. As for the raw total energy: -7.364 eV/atom.

(6)
SrCd2Sb2 | PBE-GGA | optimized geometry

a b c (Å): 4.7932 4.7932 7.8798
angles (deg): 90.00 90.00 120.00
With the nearest neighbours (Å) after each atom.
Space group P-3m1 (No. 164)
One atom of each set of equivalent atoms:
Sr (0.0000, 0.0000, 0.0000) x1  6 Sb 3.40
Cd (0.3333, 0.6667, 0.6323) x2  4 Sb 2.92-3.02
Sb (0.3333, 0.6667, 0.2496) x2  4 Cd 2.92-3.02

Its energy above the most stable polymorph in this dataset is 0 meV/atom. The value obtained for the spin magnetization is 0.00 Bohr magnetons per cell. As for the raw formation energy: -515 meV/atom. As for the raw total energy: -2.867 eV/atom.

(7)
NaTaZn | PBE-GGA | optimized geometry

a b c (Å): 2.8582 2.8599 15.2018
angles (deg): 87.97 87.87 75.16
With the nearest neighbours (Å) after each atom.
Space group P1 (No. 1)
One atom of each set of equivalent atoms:
Na (0.0000, 0.0000, 0.0000) x1  4 Na 2.86, 2 Zn 3.06-3.07
Na (0.4928, 0.5014, 0.7861) x1  4 Na 2.86
Ta (0.0104, 0.0176, 0.5930) x1  6 Ta 2.83-2.86
Ta (0.5331, 0.5392, 0.4466) x1  2 Zn 2.78, 6 Ta 2.83-2.86
Zn (0.0569, 0.0619, 0.3037) x1  7 Zn 2.72-2.86, 2 Ta 2.78
Zn (0.4621, 0.4673, 0.1660) x1  7 Zn 2.72-2.86

Its formation energy from the elements is 0.216 eV/atom. Its energy above the most stable polymorph in this dataset is 79 meV/atom. The value obtained for the spin magnetization is 0.00 Bohr magnetons per cell. As for the raw total energy: -4.599 eV/atom.

(8)
TbPrHo2Sb4 | PBE-GGA | optimized geometry

a b c (Å): 6.2587 6.2587 12.5225
angles (deg): 90.00 90.00 90.00
With the nearest neighbours (Å) after each atom.
Space group I4/mmm (No. 139)
One atom of each set of equivalent atoms:
Tb (0.0000, 0.0000, 0.0000) x2  6 Sb 3.09-3.13
Pr (0.0000, 0.0000, 0.5000) x2  6 Sb 3.13-3.17
Ho (0.0000, 0.5000, 0.2500) x4  6 Sb 3.13
Sb (0.0000, 0.0000, 0.2465) x4  1 Tb 3.09, 4 Ho 3.13, 1 Pr 3.17
Sb (0.0000, 0.5000, 0.0000) x4  2 Tb 3.13, 2 Pr 3.13, 2 Ho 3.13

The value obtained for the spin magnetization is 0.00 Bohr magnetons per cell. As for the raw formation energy: -1130 meV/atom. As for the raw total energy: -5.512 eV/atom.

(9)
KLaSb2 | PBE-GGA | optimized geometry

a b c (Å): 3.9821 3.9821 9.5145
angles (deg): 90.00 90.00 90.00
With the nearest neighbours (Å) after each atom.
Space group P4mm (No. 99)
One atom of each set of equivalent atoms:
K (0.0000, 0.0000, 0.0000) x1  5 Sb 3.71-4.01, 4 K 3.98
La (0.5000, 0.5000, 0.4069) x1  5 Sb 3.23-3.26
Sb (0.0000, 0.0000, 0.5785) x1  4 Sb 3.23, 4 La 3.26
Sb (0.5000, 0.5000, 0.7459) x1  1 La 3.23, 4 Sb 3.23

Its energy above the most stable polymorph in this dataset is 480 meV/atom. The value obtained for the spin magnetization is 0.00 Bohr magnetons per cell. As for the raw formation energy: -269 meV/atom. As for the raw total energy: -3.836 eV/atom.

(10)
Mn2Pd8S | PBE-GGA | optimized geometry

a b c (Å): 14.5173 4.5060 5.6390
angles (deg): 90.00 112.81 90.00
With the nearest neighbours (Å) after each atom.
Space group C2/m (No. 12)
One atom of each set of equivalent atoms:
Mn (0.1873, 0.0000, 0.1873) x4  12 Pd 2.73-2.87
Pd (0.0003, 0.0000, 0.2473) x4  2 S 2.67, 8 Pd 2.79-2.91, 2 Mn 2.86-2.87
Pd (0.1331, 0.5000, 0.8914) x4  1 S 2.30
Pd (0.1338, 0.5000, 0.3769) x4  1 S 2.30
Pd (0.1896, 0.0000, 0.6904) x4  8 Pd 2.73-2.91, 4 Mn 2.79-2.82
S (0.0000, 0.5000, 0.5000) x2  4 Pd 2.30

The value obtained for the spin magnetization is 18.02 Bohr magnetons per cell. As for the raw formation energy: -184 meV/atom. As for the raw total energy: -6.003 eV/atom.

(11)
Ba8TlIrAu2 | PBE-GGA | optimized geometry

a b c (Å): 7.6685 9.9878 7.8578
angles (deg): 90.00 90.91 90.00
With the nearest neighbours (Å) after each atom.
Space group P2/m (No. 10)
One atom of each set of equivalent atoms:
Ba (0.2185, 0.0000, 0.3373) x2  2 Au 3.32, 1 Tl 3.44
Ba (0.2390, 0.5000, 0.3088) x2  1 Ir 3.17, 2 Au 3.42
Ba (0.2818, 0.2795, 0.8273) x4  1 Ir 3.07, 1 Au 3.34
Tl (0.5000, 0.0000, 0.0000) x1  6 Ba 3.44-3.52
Ir (0.5000, 0.5000, 0.0000) x1  6 Ba 3.07-3.17
Au (0.0000, 0.2552, 0.5000) x2  6 Ba 3.32-3.42

Its formation energy from the elements is -0.351 eV/atom. The value obtained for the spin magnetization is 0.00 Bohr magnetons per cell. As for the raw total energy: -3.115 eV/atom.

(12)
AlCoCuRh | PBE-GGA | optimized geometry

a b c (Å): 5.8630 5.8630 5.8630
angles (deg): 90.00 90.00 90.00
With the nearest neighbours (Å) after each atom.
Space group F-43m (No. 216)
One atom of each set of equivalent atoms:
Al (0.0000, 0.0000, 0.0000) x4  4 Co 2.54, 4 Rh 2.54
Co (0.2500, 0.2500, 0.2500) x4  4 Cu 2.54, 4 Al 2.54
Cu (0.0000, 0.0000, 0.5000) x4  4 Co 2.54, 4 Rh 2.54
Rh (0.2500, 0.2500, 0.7500) x4  4 Al 2.54, 4 Cu 2.54

Its formation energy from the elements is -0.330 eV/atom. The value obtained for the spin magnetization is 4.35 Bohr magnetons per cell. As for the raw total energy: -5.904 eV/atom.

(13)
La2Tb4Tm | PBE-GGA | optimized geometry

a b c (Å): 6.2539 6.6155 11.6507
angles (deg): 90.00 104.40 90.00
With the nearest neighbours (Å) after each atom.
Space group P2_1/m (No. 11)
One atom of each set of equivalent atoms:
La (0.1094, 0.2500, 0.4952) x2  6 Tb 3.39-3.71, 1 Tm 3.46, 2 La 3.59
La (0.2030, 0.2500, 0.0676) x2  9 Tb 3.40-3.59
Tb (0.1503, 0.0055, 0.7865) x4  5 Tb 3.24-3.54, 1 Tm 3.49, 2 La 3.53-3.59
Tb (0.3609, 0.7500, 0.0575) x2  1 Tm 3.34, 4 La 3.40-3.46, 4 Tb 3.53-3.54
Tb (0.4816, 0.7500, 0.6482) x2  2 Tb 3.38, 3 La 3.39-3.66, 3 Tm 3.45-3.47
Tm (0.3462, 0.7500, 0.3424) x2  6 Tb 3.34-3.49, 1 La 3.46

Its formation energy from the elements is 0.135 eV/atom. Its energy above the most stable polymorph in this dataset is 110 meV/atom. The value obtained for the spin magnetization is 0.00 Bohr magnetons per cell. As for the raw total energy: -4.557 eV/atom.

(14)
Li4Sn3Se8 | PBE-GGA | optimized geometry

a b c (Å): 10.9732 11.1775 7.8416
angles (deg): 90.00 134.27 90.00
With the nearest neighbours (Å) after each atom.
Space group C2/m (No. 12)
One atom of each set of equivalent atoms:
Li (0.0000, 0.0000, 0.0000) x2  6 Se 2.73-2.89
Li (0.0000, 0.5000, 0.5000) x2  4 Se 2.61-2.64
Li (0.2500, 0.2500, 0.0000) x4  6 Se 2.74-2.81
Sn (0.0000, 0.5000, 0.0000) x2  6 Se 2.60-2.86
Sn (0.2500, 0.2500, 0.5000) x4  6 Se 2.75-2.81
Se (0.0000, 0.2439, 0.0000) x4  3 Li 2.73-2.74, 3 Sn 2.81-2.86
Se (0.0000, 0.2666, 0.5000) x4  3 Li 2.61-2.81, 2 Sn 2.75
Se (0.2446, 0.5000, 0.5085) x4  2 Li 2.64-2.76, 3 Sn 2.80-2.86
Se (0.2481, 0.5000, 0.0229) x4  1 Sn 2.60, 3 Li 2.80-2.89

Its energy above the most stable polymorph in this dataset is 141 meV/atom. The value obtained for the spin magnetization is 1.58 Bohr magnetons per cell. As for the raw formation energy: -557 meV/atom. As for the raw total energy: -3.726 eV/atom.